Entry 1:
Here is crystalline PaGaPd at its relaxed geometry from Alexandria via LeMat-Bulk. Energies are from PBE.

The calculation puts the formation energy at -499 meV/atom. The calculation puts the density at 11.9 g/cm3. For the magnetic moment, the calculation gives 0.0 μB/cell.

Unit cell a=3.2079 b=3.2079 c=11.0771 alpha=90.00 beta=90.00 gamma=90.00
Last column: nearest neighbours and their distance in Å.
Space group I4mm (No. 107)
One atom of each set of equivalent atoms:
Pa 0.0000 0.0000 0.0000  4 Pd 3.04, 4 Ga 3.11, 4 Pa 3.21
Ga 0.0000 0.0000 0.3084  4 Pd 2.66
Pd 0.0000 0.0000 0.6823  4 Ga 2.66

Entry 2:
Here is crystalline PaGa3Pd3 at its relaxed geometry from Alexandria via LeMat-Bulk. Energies are from PBE.

Its energy above the most stable polymorph in this dataset is 0.440 eV/atom. The calculation puts the formation energy at -32 meV/atom. The calculation puts the density at 8.1 g/cm3. For the magnetic moment, the calculation gives 3.9 μB/cell.

Unit cell a=6.7657 b=6.7657 c=6.7657 alpha=90.00 beta=90.00 gamma=90.00
Last column: nearest neighbours and their distance in Å.
Space group Pm-3n (No. 223)
One atom of each set of equivalent atoms:
Pa 0.0000 0.0000 0.0000  12 Pd 3.78, 12 Ga 3.78
Ga 0.0000 0.2500 0.5000  4 Pd 2.39
Pd 0.0000 0.5000 0.2500  4 Ga 2.39

Entry 3:
Here is crystalline PaGa3Pd at its relaxed geometry from Alexandria via LeMat-Bulk. Energies are from PBE.

Its energy above the most stable polymorph in this dataset is 0.000 eV/atom. The calculation puts the formation energy at -463 meV/atom. The calculation puts the density at 9.6 g/cm3. For the magnetic moment, the calculation gives 0.0 μB/cell.

Unit cell a=4.2795 b=4.2795 c=10.3409 alpha=90.00 beta=90.00 gamma=90.00
Last column: nearest neighbours and their distance in Å.
Space group I4mm (No. 107)
One atom of each set of equivalent atoms:
Pa 0.0000 0.0000 0.0000  12 Ga 3.15-3.50, 4 Pd 3.39
Ga 0.0000 0.0000 0.4159  1 Pd 2.39, 4 Ga 2.63
Ga 0.0000 0.5000 0.2676  2 Pd 2.48, 2 Ga 2.63
Pd 0.0000 0.0000 0.6471  5 Ga 2.39-2.48

Entry 4:
Here is crystalline Pa2GaPd6 at its relaxed geometry from Alexandria via LeMat-Bulk. Energies are from PBE.

The calculation puts the formation energy at -632 meV/atom. The calculation puts the density at 11.8 g/cm3. For the magnetic moment, the calculation gives 0.0 μB/cell.

Unit cell a=9.8508 b=5.6885 c=5.8728 alpha=90.00 beta=90.08 gamma=90.00
Last column: nearest neighbours and their distance in Å.
Space group C2/m (No. 12)
One atom of each set of equivalent atoms:
Pa 0.1667 0.0000 0.3048  6 Pd 2.93
Ga 0.0000 0.5000 0.5000  6 Pd 2.51
Pd 0.0870 0.2391 0.8121  1 Ga 2.51, 4 Pd 2.72-2.80
Pd 0.1739 0.5000 0.1886  1 Ga 2.51, 4 Pd 2.72-2.80

Entry 5:
Here is crystalline Pa2Ga8Pd at its relaxed geometry from Alexandria via LeMat-Bulk. Energies are from PBE.

The calculation puts the formation energy at -439 meV/atom. The calculation puts the density at 8.8 g/cm3. For the magnetic moment, the calculation gives 0.0 μB/cell.

Unit cell a=4.3486 b=4.3486 c=11.2044 alpha=90.00 beta=90.00 gamma=90.00
Last column: nearest neighbours and their distance in Å.
Space group P4/mmm (No. 123)
One atom of each set of equivalent atoms:
Pa 0.0000 0.0000 0.1886  12 Ga 3.01-3.07
Ga 0.0000 0.5000 0.0000  4 Pa 3.03, 8 Ga 3.03-3.07
Ga 0.0000 0.5000 0.3738  2 Pd 2.59, 1 Ga 2.83
Ga 0.5000 0.5000 0.1887  8 Ga 3.01-3.03, 4 Pa 3.07
Pd 0.0000 0.0000 0.5000  8 Ga 2.59

Entry 6:
Here is crystalline Pa3Ga7Pd2 at its relaxed geometry from Alexandria via LeMat-Bulk. Energies are from PBE.

The calculation puts the formation energy at -450 meV/atom. The calculation puts the density at 9.8 g/cm3. For the magnetic moment, the calculation gives 0.0 μB/cell.

Unit cell a=4.2324 b=4.1945 c=13.4330 alpha=90.00 beta=99.02 gamma=90.00
Last column: nearest neighbours and their distance in Å.
Space group P2/m (No. 10)
One atom of each set of equivalent atoms:
Pa 0.0000 0.0000 0.0000  12 Ga 2.98-3.03
Pa 0.3164 0.5000 0.6334  10 Ga 3.19-3.43, 4 Pd 3.25-3.26
Ga 0.0817 0.5000 0.1636  2 Pd 2.51
Ga 0.2261 0.0000 0.4520  1 Pd 2.45, 2 Ga 2.47
Ga 0.4193 0.0000 0.8366  2 Pd 2.53
Ga 0.5000 0.5000 0.0000  4 Pa 2.98, 8 Ga 3.02-3.03
Pd 0.1324 0.0000 0.2675  5 Ga 2.45-2.53